<A>
This record from Alexandria via LeMat-Bulk describes a relaxed structure of K2AlSi. The functional is PBE.

a = 3.480 Å, b = 5.513 Å, c = 5.912 Å
α = 90.00°, β = 90.26°, γ = 90.00°
Space group P2/m (No. 10)
One atom of each set of equivalent atoms:
K 0.006 0.000 0.257 [2 per cell]
Al 0.500 0.500 0.000 [1 per cell]
Si 0.500 0.500 0.500 [1 per cell]

Computed properties:
Crystal system: monoclinic
Mass density in Mg/m³: 1.95

***

<B>
This record from Alexandria via LeMat-Bulk describes a relaxed structure of K2AlSi. The functional is PBE.

a = 5.735 Å, b = 10.752 Å, c = 3.807 Å
α = 90.00°, β = 90.10°, γ = 90.00°
Space group C2/m (No. 12)
One atom of each set of equivalent atoms:
K 0.250 0.250 0.000 [4 per cell]
Al 0.000 0.000 0.500 [2 per cell]
Si 0.000 0.500 0.500 [2 per cell]

Computed properties:
Crystal system: monoclinic
Mass density in Mg/m³: 1.89

***

<A> (0.8 kJ/mol of atoms below the next structure)

***

<A>
This record from Alexandria via LeMat-Bulk describes a relaxed structure of K2AlSi. The functional is PBE.

a = 4.405 Å, b = 4.405 Å, c = 23.898 Å
α = 90.00°, β = 90.00°, γ = 90.00°
Space group I-42d (No. 122)
One atom of each set of equivalent atoms:
K 0.245 0.250 0.125 [8 per cell]
Al 0.000 0.000 0.500 [4 per cell]
Si 0.000 0.000 0.000 [4 per cell]

Computed properties:
Crystal system: tetragonal
Mass density in Mg/m³: 1.91

***

<B>
This record from Alexandria via LeMat-Bulk describes a relaxed structure of K2AlSi. The functional is PBE.

a = 5.523 Å, b = 4.284 Å, c = 6.658 Å
α = 90.00°, β = 114.50°, γ = 90.00°
Space group Pm (No. 6)
One atom of each set of equivalent atoms:
K 0.000 0.000 0.000 [1 per cell]
K 0.296 0.500 0.591 [1 per cell]
Al 0.610 0.500 0.218 [1 per cell]
Si 0.702 0.000 0.406 [1 per cell]

Computed properties:
Crystal system: monoclinic
Mass density in Mg/m³: 1.54

***

<B> (54.1 kJ/mol of atoms below the next structure)

***

<A>
This record from Alexandria via LeMat-Bulk describes a relaxed structure of KAl2Si2. The functional is PBE.

a = 8.043 Å, b = 8.043 Å, c = 3.049 Å
α = 90.00°, β = 90.00°, γ = 90.00°
Space group P4/mbm (No. 127)
One atom of each set of equivalent atoms:
K 0.000 0.000 0.000 [2 per cell]
Al 0.135 0.365 0.500 [4 per cell]
Si 0.144 0.644 0.000 [4 per cell]

Computed properties:
Crystal system: tetragonal
Mass density in Mg/m³: 2.51

***

<B>
This record from Alexandria via LeMat-Bulk describes a relaxed structure of KAl2Si2. The functional is PBE.

a = 4.459 Å, b = 4.459 Å, c = 10.854 Å
α = 90.00°, β = 90.00°, γ = 90.00°
Space group I4/mmm (No. 139)
One atom of each set of equivalent atoms:
K 0.000 0.000 0.000 [2 per cell]
Al 0.000 0.000 0.376 [4 per cell]
Si 0.000 0.500 0.250 [4 per cell]

Computed properties:
Crystal system: tetragonal
Mass density in Mg/m³: 2.30

***

<C>
This record from Alexandria via LeMat-Bulk describes a relaxed structure of KAl2Si2. The functional is PBE.

a = 8.149 Å, b = 8.149 Å, c = 2.917 Å
α = 90.00°, β = 90.00°, γ = 90.00°
Space group P4/mbm (No. 127)
One atom of each set of equivalent atoms:
K 0.000 0.000 0.000 [2 per cell]
Al 0.126 0.374 0.000 [4 per cell]
Si 0.152 0.652 0.500 [4 per cell]

Computed properties:
Crystal system: tetragonal
Mass density in Mg/m³: 2.56

***

<B> (13.8 kJ/mol of atoms below the next structure)

***

<A>
This record from Alexandria via LeMat-Bulk describes a relaxed structure of KAl2Sn2. The functional is PBE.

a = 3.919 Å, b = 3.919 Å, c = 9.313 Å
α = 90.00°, β = 90.00°, γ = 90.00°
Space group P4/mmm (No. 123)
One atom of each set of equivalent atoms:
K 0.000 0.000 0.000 [1 per cell]
Al 0.000 0.500 0.500 [2 per cell]
Sn 0.500 0.500 0.271 [2 per cell]

Computed properties:
Crystal system: tetragonal
Mass density in Mg/m³: 3.84

***

<B>
This record from Alexandria via LeMat-Bulk describes a relaxed structure of KAl2Sn2. The functional is PBE.

a = 4.900 Å, b = 4.900 Å, c = 11.666 Å
α = 90.00°, β = 90.00°, γ = 90.00°
Space group I4/mmm (No. 139)
One atom of each set of equivalent atoms:
K 0.000 0.000 0.000 [2 per cell]
Al 0.000 0.500 0.250 [4 per cell]
Sn 0.000 0.000 0.372 [4 per cell]

Computed properties:
Crystal system: tetragonal
Mass density in Mg/m³: 3.92

***

<C>
This record from Alexandria via LeMat-Bulk describes a relaxed structure of KAl2Sn2. The functional is PBE.

a = 4.927 Å, b = 4.927 Å, c = 11.333 Å
α = 90.00°, β = 90.00°, γ = 90.00°
Space group I4/mmm (No. 139)
One atom of each set of equivalent atoms:
K 0.000 0.000 0.000 [2 per cell]
Al 0.000 0.000 0.384 [4 per cell]
Sn 0.000 0.500 0.250 [4 per cell]

Computed properties:
Crystal system: tetragonal
Mass density in Mg/m³: 3.99

***

<D>
This record from Alexandria via LeMat-Bulk describes a relaxed structure of KAl2Sn2. The functional is PBE.

a = 8.733 Å, b = 8.733 Å, c = 3.422 Å
α = 90.00°, β = 90.00°, γ = 90.00°
Space group P4/mbm (No. 127)
One atom of each set of equivalent atoms:
K 0.000 0.000 0.000 [2 per cell]
Al 0.141 0.359 0.500 [4 per cell]
Sn 0.143 0.643 0.000 [4 per cell]

Computed properties:
Crystal system: tetragonal
Mass density in Mg/m³: 4.20

***

<C> (1.7 kJ/mol of atoms below the next structure)

***

<A>
This record from Alexandria via LeMat-Bulk describes a relaxed structure of KAl3Sn. The functional is PBE.

a = 5.611 Å, b = 5.611 Å, c = 5.611 Å
α = 90.00°, β = 90.00°, γ = 90.00°
Space group Pm-3m (No. 221)
One atom of each set of equivalent atoms:
K 0.000 0.000 0.000 [1 per cell]
Al 0.000 0.000 0.500 [3 per cell]
Sn 0.500 0.500 0.500 [1 per cell]

Computed properties:
Crystal system: cubic
Mass density in Mg/m³: 2.24

***

<B>
This record from Alexandria via LeMat-Bulk describes a relaxed structure of KAl3Sn. The functional is PBE.

a = 5.534 Å, b = 5.534 Å, c = 5.534 Å
α = 90.00°, β = 90.00°, γ = 90.00°
Space group Pm-3m (No. 221)
One atom of each set of equivalent atoms:
K 0.000 0.000 0.000 [1 per cell]
Al 0.000 0.500 0.500 [3 per cell]
Sn 0.500 0.500 0.500 [1 per cell]

Computed properties:
Crystal system: cubic
Mass density in Mg/m³: 2.34

***

<B> (79.2 kJ/mol of atoms below the next structure)

***

<A>
This record from Alexandria via LeMat-Bulk describes a relaxed structure of KSrAl. The functional is PBE.

a = 5.8342 Å, b = 5.8342 Å, c = 3.8048 Å
α = 90.00°, β = 90.00°, γ = 120.00°
Space group P3m1 (No. 156)
One atom of each set of equivalent atoms:
K 0.0000 0.0000 0.0000 [1 per cell]
Sr 0.6667 0.3333 0.3329 [1 per cell]
Al 0.3333 0.6667 0.7043 [1 per cell]

Computed properties:
Crystal system: trigonal
Mass density in Mg/m³: 2.28

***

<B>
This record from Alexandria via LeMat-Bulk describes a relaxed structure of KSrAl. The functional is PBE.

a = 8.191 Å, b = 8.191 Å, c = 8.191 Å
α = 90.00°, β = 90.00°, γ = 90.00°
Space group F-43m (No. 216)
One atom of each set of equivalent atoms:
K 0.000 0.000 0.000 [4 per cell]
Sr 0.000 0.000 0.500 [4 per cell]
Al 0.250 0.250 0.750 [4 per cell]

Computed properties:
Crystal system: cubic
Mass density in Mg/m³: 1.86

***

<A> (0.6 kJ/mol of atoms below the next structure)